1.
The following is a PBE calculation of a relaxed structure of LuScFeSn, from the Open Quantum Materials Database.

Summary:
The energy above the lowest structure with this stoichiometry comes out at 0.0000 eV per atom. The value obtained for the electronic total energy is -5.939 eV/atom. The value obtained for the density is 8.78 Mg/m³.

abc: 4.7246 4.7246 4.7246
angles: 60.00 60.00 60.00
Last column: nearest neighbours and their distance in Å.
Element x y z (fractional)
Fe  0.7500  0.7500  0.7500  4 Sn 2.89, 4 Lu 2.89
Lu  0.5000  0.5000  0.5000  4 Sc 2.89, 4 Fe 2.89
Sc  0.2500  0.2500  0.2500  4 Lu 2.89, 4 Sn 2.89
Sn  0.0000  0.0000  0.0000  4 Fe 2.89, 4 Sc 2.89

=====

2.
The following is a PBE calculation of a relaxed structure of LuScZnFe, from the Open Quantum Materials Database.

Summary:
The energy above the lowest structure with this stoichiometry comes out at 0.0000 eV per atom. The value obtained for the electronic total energy is -5.015 eV/atom. Its calculated formation energy is 0.091 eV/atom. The value obtained for the density is 8.05 Mg/m³.

abc: 4.6350 4.6350 4.6350
angles: 60.00 60.00 60.00
Last column: nearest neighbours and their distance in Å.
Element x y z (fractional)
Fe  0.7500  0.7500  0.7500  4 Lu 2.84, 4 Zn 2.84
Lu  0.5000  0.5000  0.5000  4 Fe 2.84, 4 Sc 2.84
Sc  0.2500  0.2500  0.2500  4 Lu 2.84, 4 Zn 2.84
Zn  0.0000  0.0000  0.0000  4 Fe 2.84, 4 Sc 2.84

=====

3.
The following is a PBE calculation of a relaxed structure of Lu2FeSe4, from the Open Quantum Materials Database.

Summary:
The value obtained for the electronic total energy is -5.760 eV/atom. The value obtained for the density is 6.63 Mg/m³.

abc: 7.9974 7.9974 7.9974
angles: 60.00 60.00 60.00
Last column: nearest neighbours and their distance in Å.
Element x y z (fractional)
Fe  0.5000  0.5000  0.5000  4 Se 2.48
Fe  0.7500  0.7500  0.7500  4 Se 2.48
Lu  0.1250  0.1250  0.1250  6 Se 2.81
Lu  0.6250  0.1250  0.1250  6 Se 2.81
Lu  0.1250  0.6250  0.1250  6 Se 2.81
Lu  0.1250  0.1250  0.6250  6 Se 2.81
Se  0.8767  0.8767  0.3700  1 Fe 2.48
Se  0.3733  0.8800  0.3733  1 Fe 2.48
Se  0.8800  0.3733  0.3733  1 Fe 2.48
Se  0.3733  0.3733  0.3733  1 Fe 2.48
Se  0.8767  0.3700  0.8767  1 Fe 2.48
Se  0.3700  0.8767  0.8767  1 Fe 2.48
Se  0.8767  0.8767  0.8767  1 Fe 2.48
Se  0.3733  0.3733  0.8800  1 Fe 2.48

=====

4.
The following is a PBE calculation of a relaxed structure of LuFeSi2, from the Open Quantum Materials Database.

Summary:
The value obtained for the electronic total energy is -5.876 eV/atom. The value obtained for the density is 7.83 Mg/m³.

abc: 4.4147 4.4147 4.4147
angles: 60.00 60.00 60.00
Last column: nearest neighbours and their distance in Å.
Element x y z (fractional)
Fe  0.2500  0.2500  0.2500  4 Lu 2.70, 4 Si 2.70
Lu  0.5000  0.5000  0.5000  4 Fe 2.70, 4 Si 2.70
Si  0.0000  0.0000  0.0000  4 Fe 2.70, 4 Si 2.70
Si  0.7500  0.7500  0.7500  4 Lu 2.70, 4 Si 2.70